Record 1
{
  "formula": "Ti2MnRh",
  "functional": "GGA-PBE",
  "state": "relaxed",
  "lattice": [[4.278, 0.000, 0.000], [0.000, 4.278, 0.000], [0.000, 0.000, 3.075]],
  "species": ["Ti", "Ti", "Mn", "Rh"],
  "fractional_positions": [[0.000, 0.500, 0.000], [0.500, 0.000, 0.000], [0.000, 0.000, 0.500], [0.500, 0.500, 0.500]],
  "sg": "P4/mmm (123)",
  "polymorph_energy_kj_per_mol_fu": 20,
  "crystal_system": "tetragonal",
  "formation_enthalpy_0k_ev_per_atom": -0.56,
  "magnetic_moment_mub_per_fu": 0.00
}

Record 2
{
  "formula": "ErSnH",
  "functional": "GGA-PBE",
  "state": "relaxed",
  "lattice": [[3.590, 0.000, 0.000], [-1.795, 3.109, 0.000], [0.000, 0.000, 5.066]],
  "species": ["Er", "Sn", "H"],
  "fractional_positions": [[0.000, 0.000, 0.000], [0.667, 0.333, 0.500], [0.333, 0.667, 0.000]],
  "sg": "P-6m2 (187)",
  "polymorph_energy_kj_per_mol_fu": 0,
  "crystal_system": "hexagonal",
  "magnetic_moment_mub_per_fu": 0.00
}

Record 3
{
  "formula": "CrHgOs4",
  "functional": "GGA-PBE",
  "state": "relaxed",
  "lattice": [[0.000, 3.676, 3.676], [3.676, 0.000, 3.676], [3.676, 3.676, 0.000]],
  "species": ["Cr", "Hg", "Os", "Os", "Os", "Os"],
  "fractional_positions": [[0.000, 0.000, 0.000], [0.750, 0.750, 0.750], [0.375, 0.375, 0.375], [0.375, 0.375, 0.876], [0.375, 0.876, 0.375], [0.876, 0.375, 0.375]],
  "sg": "F-43m (216)",
  "crystal_system": "cubic",
  "formation_enthalpy_0k_ev_per_atom": 0.85,
  "magnetic_moment_mub_per_fu": 1.25
}

Record 4
{
  "formula": "Tl3CoTe",
  "functional": "GGA-PBE",
  "state": "relaxed",
  "lattice": [[5.153, 0.000, 0.000], [0.000, 5.153, 0.000], [0.000, 0.000, 5.153]],
  "species": ["Tl", "Tl", "Tl", "Co", "Te"],
  "fractional_positions": [[0.000, 0.000, 0.500], [0.000, 0.500, 0.000], [0.500, 0.000, 0.000], [0.000, 0.000, 0.000], [0.500, 0.500, 0.500]],
  "sg": "Pm-3m (221)",
  "polymorph_energy_kj_per_mol_fu": 0,
  "raw_formation_energy_ev_per_atom": 0.14,
  "crystal_system": "cubic",
  "magnetic_moment_mub_per_fu": 0.00
}

Record 5
{
  "formula": "Ta2FeRe",
  "functional": "GGA-PBE",
  "state": "relaxed",
  "lattice": [[-1.617, 2.269, 4.276], [1.617, -2.269, 4.276], [1.617, 2.269, -4.276]],
  "species": ["Ta", "Ta", "Fe", "Re"],
  "fractional_positions": [[0.247, 0.247, 0.000], [0.753, 0.753, 0.000], [0.000, 0.500, 0.500], [0.500, 0.000, 0.500]],
  "sg": "Immm (71)",
  "crystal_system": "orthorhombic",
  "formation_enthalpy_0k_ev_per_atom": -0.05,
  "magnetic_moment_mub_per_fu": 1.70
}

Record 6
{
  "formula": "CoGeSb2Te",
  "functional": "GGA-PBE",
  "state": "relaxed",
  "lattice": [[5.252, 0.000, 0.000], [0.000, 5.252, 0.000], [0.000, 0.000, 5.278]],
  "species": ["Co", "Ge", "Sb", "Sb", "Te"],
  "fractional_positions": [[0.000, 0.000, 0.000], [0.500, 0.500, 0.500], [0.000, 0.500, 0.500], [0.500, 0.000, 0.500], [0.500, 0.500, 0.000]],
  "sg": "P4/mmm (123)",
  "polymorph_energy_kj_per_mol_fu": 356,
  "raw_formation_energy_ev_per_atom": 1.15,
  "crystal_system": "tetragonal",
  "magnetic_moment_mub_per_fu": 1.80
}

Record 7
{
  "formula": "Rb2BeRuBr6",
  "functional": "GGA-PBE",
  "state": "relaxed",
  "lattice": [[-3.545, 3.545, 5.643], [3.545, -3.545, 5.643], [3.545, 3.545, -5.643]],
  "species": ["Rb", "Rb", "Be", "Ru", "Br", "Br", "Br", "Br", "Br", "Br"],
  "fractional_positions": [[0.250, 0.750, 0.500], [0.750, 0.250, 0.500], [0.000, 0.000, 0.000], [0.500, 0.500, 0.000], [0.237, 0.237, 0.473], [0.237, 0.763, 0.000], [0.273, 0.273, 0.000], [0.727, 0.727, 0.000], [0.763, 0.237, 0.000], [0.763, 0.763, 0.527]],
  "sg": "I4/mmm (139)",
  "raw_formation_energy_ev_per_atom": -0.77,
  "crystal_system": "tetragonal",
  "magnetic_moment_mub_per_fu": 1.00
}

Record 8
{
  "formula": "LiPbS2N",
  "functional": "GGA-PBE",
  "state": "relaxed",
  "lattice": [[5.281, 0.000, 0.000], [0.000, 5.281, 0.000], [0.000, 0.000, 4.515]],
  "species": ["Li", "Pb", "S", "S", "N"],
  "fractional_positions": [[0.000, 0.000, 0.000], [0.500, 0.500, 0.500], [0.000, 0.500, 0.500], [0.500, 0.000, 0.500], [0.500, 0.500, 0.000]],
  "sg": "P4/mmm (123)",
  "polymorph_energy_kj_per_mol_fu": 0,
  "raw_formation_energy_ev_per_atom": 0.71,
  "crystal_system": "tetragonal",
  "magnetic_moment_mub_per_fu": 1.99
}

Record 9
{
  "formula": "Ta3Pt2",
  "functional": "GGA-PBE",
  "state": "relaxed",
  "lattice": [[9.966, 0.000, 0.000], [0.000, 9.966, 0.000], [0.000, 0.000, 5.172]],
  "species": ["Ta", "Ta", "Ta", "Ta", "Ta", "Ta", "Ta", "Ta", "Ta", "Ta", "Ta", "Ta", "Ta", "Ta", "Ta", "Ta", "Ta", "Ta", "Pt", "Pt", "Pt", "Pt", "Pt", "Pt", "Pt", "Pt", "Pt", "Pt", "Pt", "Pt"],
  "fractional_positions": [[0.000, 0.000, 0.000], [0.039, 0.364, 0.500], [0.136, 0.539, 0.000], [0.185, 0.815, 0.251], [0.185, 0.815, 0.749], [0.315, 0.315, 0.249], [0.315, 0.315, 0.751], [0.364, 0.039, 0.500], [0.461, 0.864, 0.000], [0.500, 0.500, 0.500], [0.539, 0.136, 0.000], [0.636, 0.961, 0.500], [0.685, 0.685, 0.249], [0.685, 0.685, 0.751], [0.815, 0.185, 0.251], [0.815, 0.185, 0.749], [0.864, 0.461, 0.000], [0.961, 0.636, 0.500], [0.068, 0.264, 0.000], [0.100, 0.100, 0.500], [0.236, 0.568, 0.500], [0.264, 0.068, 0.000], [0.400, 0.600, 0.000], [0.432, 0.764, 0.500], [0.568, 0.236, 0.500], [0.600, 0.400, 0.000], [0.736, 0.932, 0.000], [0.764, 0.432, 0.500], [0.900, 0.900, 0.500], [0.932, 0.736, 0.000]],
  "sg": "P4_2/mnm (136)",
  "polymorph_energy_kj_per_mol_fu": 0,
  "crystal_system": "tetragonal",
  "formation_enthalpy_0k_ev_per_atom": -0.47,
  "magnetic_moment_mub_per_fu": 0.00
}

Record 10
{
  "formula": "FeRe2Si",
  "functional": "GGA-PBE",
  "state": "relaxed",
  "lattice": [[2.699, 0.000, 0.000], [0.000, 3.865, 0.000], [-0.932, 0.000, 5.154]],
  "species": ["Fe", "Re", "Re", "Si"],
  "fractional_positions": [[0.000, 0.000, 0.000], [0.415, 0.500, 0.749], [0.585, 0.500, 0.251], [0.000, 0.000, 0.500]],
  "sg": "P2/m (10)",
  "raw_formation_energy_ev_per_atom": 0.10,
  "crystal_system": "monoclinic",
  "magnetic_moment_mub_per_fu": 0.91
}

Record 11
{
  "formula": "Nd2CuGe2O8",
  "functional": "GGA-PBE",
  "state": "relaxed",
  "lattice": [[4.951, -7.717, 0.000], [4.951, 7.717, 0.000], [-2.612, 0.000, 4.532]],
  "species": ["Nd", "Nd", "Nd", "Nd", "Cu", "Cu", "Ge", "Ge", "Ge", "Ge", "O", "O", "O", "O", "O", "O", "O", "O", "O", "O", "O", "O", "O", "O", "O", "O"],
  "fractional_positions": [[0.121, 0.879, 0.000], [0.380, 0.623, 0.535], [0.623, 0.380, 0.535], [0.879, 0.121, 0.000], [0.089, 0.502, 0.837], [0.502, 0.089, 0.837], [0.272, 0.272, 0.845], [0.533, 0.955, 0.283], [0.760, 0.760, 0.227], [0.955, 0.533, 0.283], [0.077, 0.423, 0.136], [0.096, 0.096, 0.862], [0.148, 0.666, 0.641], [0.190, 0.376, 0.652], [0.332, 0.796, 0.269], [0.376, 0.190, 0.652], [0.423, 0.077, 0.136], [0.426, 0.426, 0.221], [0.582, 0.929, 0.964], [0.597, 0.597, 0.866], [0.666, 0.148, 0.641], [0.670, 0.854, 0.444], [0.796, 0.332, 0.269], [0.854, 0.670, 0.444], [0.928, 0.928, 0.186], [0.929, 0.582, 0.964]],
  "sg": "Cm (8)",
  "raw_formation_energy_ev_per_atom": -2.24,
  "crystal_system": "monoclinic",
  "magnetic_moment_mub_per_fu": 1.00
}

Record 12
{
  "formula": "Na3VBr",
  "functional": "GGA-PBE",
  "state": "relaxed",
  "lattice": [[5.878, 0.000, 0.000], [0.000, 5.878, 0.000], [0.000, 0.000, 5.878]],
  "species": ["Na", "Na", "Na", "V", "Br"],
  "fractional_positions": [[0.000, 0.000, 0.500], [0.000, 0.500, 0.000], [0.500, 0.000, 0.000], [0.000, 0.000, 0.000], [0.500, 0.500, 0.500]],
  "sg": "Pm-3m (221)",
  "raw_formation_energy_ev_per_atom": 0.55,
  "crystal_system": "cubic",
  "magnetic_moment_mub_per_fu": 4.95
}